# MoIBr3Cl

A relaxed structure of MoIBr3Cl (PBE, OQMD via LeMat-Bulk).

abc: 6.611 7.163 9.992
angles: 107.46 91.71 114.96
Fractional positions:
Mo (0.111, 0.224, 0.223)
Mo (0.889, 0.776, 0.777)
I (0.260, 0.194, 0.953)
I (0.740, 0.806, 0.047)
Br (0.073, 0.809, 0.572)
Br (0.306, 0.009, 0.252)
Br (0.442, 0.576, 0.336)
Br (0.558, 0.424, 0.664)
Br (0.694, 0.991, 0.748)
Br (0.927, 0.191, 0.428)
Cl (0.102, 0.626, 0.848)
Cl (0.898, 0.374, 0.152)

Results
- Energy relative to the lowest polymorph listed for this composition: 0.012 eV/atom
- Spin magnetization: 1.985 μB/cell



# MoIBrCl3

A relaxed structure of MoIBrCl3 (PBE, OQMD via LeMat-Bulk).

abc: 6.451 6.975 9.722
angles: 107.24 92.74 115.72
Fractional positions:
Mo (0.109, 0.213, 0.212)
Mo (0.891, 0.787, 0.788)
I (0.073, 0.802, 0.553)
I (0.927, 0.198, 0.447)
Br (0.249, 0.187, 0.955)
Br (0.751, 0.813, 0.045)
Cl (0.106, 0.629, 0.859)
Cl (0.296, 0.008, 0.242)
Cl (0.434, 0.557, 0.326)
Cl (0.566, 0.443, 0.674)
Cl (0.704, 0.992, 0.758)
Cl (0.894, 0.371, 0.141)

Results
- Energy relative to the lowest polymorph listed for this composition: 0.001 eV/atom
- Spin magnetization: 1.978 μB/cell



# MoI3BrCl

A relaxed structure of MoI3BrCl (PBE, OQMD via LeMat-Bulk).

abc: 6.811 7.414 10.168
angles: 106.62 91.84 113.84
Fractional positions:
Mo (0.104, 0.213, 0.215)
Mo (0.896, 0.787, 0.785)
I (0.082, 0.812, 0.561)
I (0.253, 0.180, 0.952)
I (0.452, 0.565, 0.336)
I (0.548, 0.435, 0.664)
I (0.747, 0.820, 0.048)
I (0.918, 0.188, 0.439)
Br (0.108, 0.620, 0.858)
Br (0.892, 0.380, 0.142)
Cl (0.275, 0.009, 0.244)
Cl (0.725, 0.991, 0.756)

Results
- Energy relative to the lowest polymorph listed for this composition: 0.001 eV/atom
- Spin magnetization: 1.979 μB/cell